# La4Y2Tm3

Crystalline La4Y2Tm3 at its relaxed geometry (PBE-GGA, Alexandria).

The structure in POSCAR format:
```
La4Y2Tm3
1.0
7.692 -2.566 0.000
7.692 2.566 0.000
-2.551 0.000 7.669
La Y Tm
4 2 3
Cartesian
-0.020 0.000 2.538
2.556 0.000 5.094
10.277 0.000 2.575
12.852 0.000 5.131
0.019 0.000 7.668
12.814 0.000 0.001
5.140 0.000 2.523
7.692 0.000 0.000
7.693 0.000 5.147
```

Values from the calculation:
The value obtained for the formation energy is 34 meV/atom. The calculation puts the density of states at the Fermi level at 15.73 states/eV per cell. The value obtained for the magnetic moment is 0.00 μB/f.u. Its space-group type is C2/m (12).

# CeSmHo2Er

Crystalline CeSmHo2Er at its relaxed geometry (PBE-GGA, Alexandria).

The structure in POSCAR format:
```
CeSmHo2Er
1.0
5.837 0.000 0.000
0.000 7.727 0.000
0.000 0.000 7.167
Ce Sm Ho Er
2 2 4 2
Cartesian
0.000 0.000 0.000
2.918 0.000 0.000
1.459 3.863 1.162
4.377 3.863 6.005
1.459 2.254 4.862
1.459 5.473 4.862
4.377 2.254 2.306
4.377 5.473 2.306
1.459 0.000 2.781
4.377 0.000 4.386
```

Values from the calculation:
The value obtained for the formation energy is 294 meV/atom. The calculation puts the density of states at the Fermi level at 18.97 states/eV per cell. The value obtained for the magnetic moment is 1.64 μB/f.u. Its space-group type is Pmma (51).

# Ce2SF

Crystalline Ce2SF at its relaxed geometry (PBE-GGA, Alexandria).

The structure in POSCAR format:
```
Ce2SF
1.0
3.895 0.000 0.000
-1.948 3.374 0.000
0.000 0.000 6.320
Ce S F
2 1 1
Cartesian
0.000 2.249 1.460
1.948 1.125 4.859
0.000 0.000 3.160
0.000 0.000 0.000
```

Values from the calculation:
The calculation puts the formation energy (no corrections) at -798 kJ/mol of formula units. The calculation puts the density of states at the Fermi level at 10.55 states/eV per cell. The value obtained for the magnetic moment is 2.40 μB/f.u. Its space-group type is P-3m1 (164).

Question: What is the formula in the first record?
Answer: La4Y2Tm3